[1]
5
Lattice="5.216 0.000 0.000 0.000 3.639 0.000 0.000 0.000 5.216" Properties=species:S:1:pos:R:3 comment="Hf2TiCuO GGA-PBE optimized geometry" polymorph_energy_ev_per_fu=6.152 spacegroup="P4/mmm, No. 123" total_energy_ev_per_cell=-35.690 raw_formation_energy_ev_per_atom=0.233 pbc="T T T"
Hf 0.000 0.000 2.608
Hf 2.608 0.000 0.000
O 0.000 1.820 0.000
Cu 2.608 1.820 2.608
Ti 0.000 0.000 0.000

***

[2]
5
Lattice="4.384 0.000 0.000 0.000 4.384 0.000 0.000 0.000 4.020" Properties=species:S:1:pos:R:3 comment="Hf2TiCuO GGA-PBE optimized geometry" polymorph_energy_ev_per_fu=0.000 spacegroup="P4/mmm, No. 123" total_energy_ev_per_cell=-41.842 raw_formation_energy_ev_per_atom=-0.997 pbc="T T T"
Hf 0.000 2.192 0.000
Hf 2.192 0.000 0.000
O 0.000 0.000 0.000
Cu 2.192 2.192 2.010
Ti 0.000 0.000 2.010

***

Total magnetization: 0.00, 0.28 (μB/f.u.)
N(E_F): 7.2, 3.5 (states/eV/cell)